DFT (PBE) results for an optimized crystal structure of BaMoW3.

Cell lengths 4.8826, 4.8826, 4.8826 Å; angles 90.00, 90.00, 90.00 degrees
Last column: nearest neighbours and their distance in Å.
Element x y z (fractional)
Mo 0.5000 0.5000 0.5000  12 W 3.45
Ba 0.0000 0.0000 0.0000  6 W 2.44
W 0.5000 0.0000 0.0000  2 Ba 2.44
W 0.0000 0.0000 0.5000  2 Ba 2.44
W 0.0000 0.5000 0.0000  2 Ba 2.44

Properties
The formation enthalpy at 0 K comes out at 4021.8 meV/atom. The space group is Pm-3m, No. 221. The calculation puts the energy above the most stable polymorph in this dataset at 2179.4 meV per atom.